BaMoW2 | the Alexandria database | SCAN | single point on PBEsol structure; excess energy over the best structure of this formula in the dataset = 0.0000 eV per atom
1.0
3.152 0.000 0.000
0.000 3.152 0.000
0.000 0.000 8.337
Ba Mo W
1 1 2
Direct
0.000 0.000 0.000
0.500 0.500 0.325
0.000 0.000 0.500
0.500 0.500 0.678

=====

# Li2ScHg

Li2ScHg at its PBEsol-relaxed geometry (SCAN, the Alexandria database).

Geometry as POSCAR:
```
Li2ScHg
1.0
4.076 0.000 0.000
0.000 4.076 0.000
0.000 0.000 4.677
Li Sc Hg
2 1 1
Direct
0.000 0.500 0.000
0.500 0.000 0.000
0.000 0.000 0.500
0.500 0.500 0.500
```

=====

# ReNiO2

ReNiO2 at its PBEsol-relaxed geometry (SCAN, the Alexandria database).

Geometry as POSCAR:
```
ReNiO2
1.0
2.707 0.000 0.000
-1.354 2.344 0.000
0.000 0.000 19.370
Re Ni O
3 3 6
Direct
0.000 0.000 0.000
0.333 0.667 0.667
0.667 0.333 0.333
0.000 0.000 0.500
0.333 0.667 0.167
0.667 0.333 0.833
0.000 0.000 0.405
0.000 0.000 0.595
0.333 0.667 0.071
0.333 0.667 0.262
0.667 0.333 0.738
0.667 0.333 0.929
```

=====

Number 1: VASP energy -210.093 eV/cell, M_tot 0.00 μB/cell, D(E_F) 4.654 states/eV per cell. Number 2: VASP energy -88.281 eV/cell, M_tot 0.78 μB/cell, D(E_F) 2.840 states/eV per cell. Number 3: VASP energy -309.334 eV/cell, M_tot 2.33 μB/cell, D(E_F) 4.275 states/eV per cell.